Material: TlAuS
Method: DFT, PBE
State: optimized geometry

Calculated values
total DFT energy (no corrections): -42.30 eV per cell
volume: 28.12 Å³/atom

a = 7.0351 Å, b = 6.8776 Å, c = 9.2165 Å
α = 90.00°, β = 130.82°, γ = 90.00°
Closest atoms and distances in Å follow each position.
Sites, in units of the cell vectors:
S1 0.7028 0.7499 0.6006  2 Au 2.34
S2 0.2972 0.2501 0.3994  2 Au 2.34
S3 0.2972 0.2499 0.8994  2 Au 2.34
S4 0.7028 0.7501 0.1006  2 Au 2.34
Tl1 0.3078 0.7500 0.6531  2 S 3.12, 4 Au 3.31
Tl2 0.3078 0.7500 0.1531  2 S 3.12, 4 Au 3.31
Tl3 0.6922 0.2500 0.8469  2 S 3.12, 4 Au 3.31
Tl4 0.6922 0.2500 0.3469  2 S 3.12, 4 Au 3.31
Au1 0.0000 0.5002 0.2500  2 S 2.34
Au2 0.0000 0.9998 0.7500  2 S 2.34
Au3 0.0000 0.4998 0.7500  2 S 2.34
Au4 0.0000 0.0002 0.2500  2 S 2.34